Record 1
The following is a DFT calculation (PBE-GGA) of a geometry-optimized Rb3SbBr6 structure.

Properties
ρ: 3162 kg/m³
Formation energy from raw total energies: -1323 meV per atom
Spin magnetization: 0.00 μB/cell
DOS at the Fermi energy: 0.000 states/eV/atom
Energy above the lowest structure with this stoichiometry: 0 meV per atom

CIF file:
```
data_Rb3SbBr6
_chemical_formula_sum 'Rb18 Sb6 Br36'
_symmetry_space_group_name_H-M 'R -3'
_symmetry_Int_Tables_number 148
_symmetry_space_group_name_Hall '-R 3'
_cell_length_a 13.8004
_cell_length_b 13.8004
_cell_length_c 16.3849
_cell_angle_alpha 90.00
_cell_angle_beta 90.00
_cell_angle_gamma 120.00
loop_
_atom_site_label
_atom_site_fract_x
_atom_site_fract_y
_atom_site_fract_z
_atom_site_occupancy
Rb1 0.0510 0.2719 0.2007 1
Sb1 0.0000 0.0000 0.0000 1
Sb2 0.0000 0.0000 0.5000 1
Br1 0.0194 0.1802 0.4028 1
Br2 0.0343 0.1826 0.8996 1
```

Record 2
The following is a DFT calculation (PBE-GGA) of a geometry-optimized RbSb2Br6 structure.

Properties
ρ: 2981 kg/m³
Formation energy from raw total energies: -760 meV per atom
Spin magnetization: 0.00 μB/cell
DOS at the Fermi energy: 0.103 states/eV/atom
Energy above the lowest structure with this stoichiometry: 0 meV per atom

CIF file:
```
data_RbSb2Br6
_chemical_formula_sum 'Rb4 Sb8 Br24'
_symmetry_space_group_name_H-M 'C 1 2/c 1'
_symmetry_Int_Tables_number 15
_cell_length_a 15.090
_cell_length_b 12.682
_cell_length_c 11.973
_cell_angle_alpha 90.00
_cell_angle_beta 128.18
_cell_angle_gamma 90.00
loop_
_symmetry_equiv_pos_as_xyz
'x,y,z'
'-x,-y,-z'
'-x,y,-z+1/2'
'x,-y,z+1/2'
'x+1/2,y+1/2,z'
'-x+1/2,-y+1/2,-z'
'-x+1/2,y+1/2,-z+1/2'
'x+1/2,-y+1/2,z+1/2'
loop_
_atom_site_label
_atom_site_fract_x
_atom_site_fract_y
_atom_site_fract_z
_atom_site_occupancy
Rb1 0.000 0.076 0.250 1
Sb1 0.127 0.473 0.205 1
Br1 0.115 0.274 0.156 1
Br2 0.127 0.478 0.451 1
Br3 0.148 0.028 0.625 1
```

Record 3
The following is a DFT calculation (PBE-GGA) of a geometry-optimized Rb3SbBr6 structure.

Properties
ρ: 3434 kg/m³
Formation energy from raw total energies: -1322 meV per atom
Spin magnetization: 0.00 μB/cell
DOS at the Fermi energy: 0.000 states/eV/atom
Energy above the lowest structure with this stoichiometry: 0 meV per atom

CIF file:
```
data_Rb3SbBr6
_chemical_formula_sum 'Rb6 Sb2 Br12'
_symmetry_space_group_name_H-M 'P 1 21/c 1'
_symmetry_Int_Tables_number 14
_cell_length_a 8.156
_cell_length_b 8.694
_cell_length_c 14.205
_cell_angle_alpha 90.00
_cell_angle_beta 124.57
_cell_angle_gamma 90.00
loop_
_symmetry_equiv_pos_as_xyz
'x,y,z'
'-x,-y,-z'
'-x,y+1/2,-z+1/2'
'x,-y+1/2,z+1/2'
loop_
_atom_site_label
_atom_site_fract_x
_atom_site_fract_y
_atom_site_fract_z
_atom_site_occupancy
Rb1 0.000 0.000 0.000 1
Rb2 0.217 0.077 0.747 1
Sb1 0.500 0.000 0.500 1
Br1 0.163 0.176 0.444 1
Br2 0.265 0.727 0.428 1
Br3 0.401 0.050 0.276 1
```

Record 4
The following is a DFT calculation (PBE-GGA) of a geometry-optimized Rb2SbBr5 structure.

Properties
ρ: 3530 kg/m³
Formation energy from raw total energies: -1196 meV per atom
Spin magnetization: 0.00 μB/cell
DOS at the Fermi energy: 0.000 states/eV/atom

CIF file:
```
data_Rb2SbBr5
_chemical_formula_sum 'Rb4 Sb2 Br10'
_symmetry_space_group_name_H-M 'I 4 m m'
_symmetry_Int_Tables_number 107
_symmetry_space_group_name_Hall 'I 4 -2'
_cell_length_a 8.223
_cell_length_b 8.223
_cell_length_c 9.632
_cell_angle_alpha 90.00
_cell_angle_beta 90.00
_cell_angle_gamma 90.00
loop_
_atom_site_label
_atom_site_fract_x
_atom_site_fract_y
_atom_site_fract_z
_atom_site_occupancy
Rb1 0.000 0.500 0.000 1
Sb1 0.000 0.000 0.248 1
Br1 0.000 0.000 0.513 1
Br2 0.242 0.242 0.251 1
```

Record 5
The following is a DFT calculation (PBE-GGA) of a geometry-optimized RbSbBr2 structure.

Properties
ρ: 3381 kg/m³
Formation energy from raw total energies: -613 meV per atom
Spin magnetization: 0.00 μB/cell
DOS at the Fermi energy: 0.002 states/eV/atom
Energy above the lowest structure with this stoichiometry: 105 meV per atom

CIF file:
```
data_RbSbBr2
_chemical_formula_sum 'Rb4 Sb4 Br8'
_symmetry_space_group_name_H-M 'I -4 2 d'
_symmetry_Int_Tables_number 122
_symmetry_space_group_name_Hall 'I -4 2bw'
_cell_length_a 6.253
_cell_length_b 6.253
_cell_length_c 18.437
_cell_angle_alpha 90.00
_cell_angle_beta 90.00
_cell_angle_gamma 90.00
loop_
_atom_site_label
_atom_site_fract_x
_atom_site_fract_y
_atom_site_fract_z
_atom_site_occupancy
Rb1 0.000 0.000 0.000 1
Sb1 0.000 0.000 0.500 1
Br1 0.166 0.250 0.625 1
```

Record 6
The following is a DFT calculation (PBE-GGA) of a geometry-optimized RbSb2Br8 structure.

Properties
ρ: 2666 kg/m³
Formation energy from raw total energies: -659 meV per atom
Spin magnetization: 0.00 μB/cell
DOS at the Fermi energy: 0.830 states/eV/atom
Energy above the lowest structure with this stoichiometry: 0 meV per atom

CIF file:
```
data_RbSb2Br8
_chemical_formula_sum 'Rb1 Sb2 Br8'
_symmetry_space_group_name_H-M 'P -3 m 1'
_symmetry_Int_Tables_number 164
_symmetry_space_group_name_Hall '-P 3 2"'
_cell_length_a 8.5607
_cell_length_b 8.5607
_cell_length_c 9.5016
_cell_angle_alpha 90.00
_cell_angle_beta 90.00
_cell_angle_gamma 120.00
loop_
_atom_site_label
_atom_site_fract_x
_atom_site_fract_y
_atom_site_fract_z
_atom_site_occupancy
Rb1 0.0000 0.0000 0.0000 1
Sb1 0.3333 0.6667 0.3113 1
Br1 0.1546 0.3093 0.2748 1
Br2 0.3333 0.6667 0.5764 1
```

Record 7
The following is a DFT calculation (PBE-GGA) of a geometry-optimized RbSbBr3 structure.

Properties
ρ: 3048 kg/m³
Formation energy from raw total energies: -965 meV per atom
Spin magnetization: 0.00 μB/cell
DOS at the Fermi energy: 0.000 states/eV/atom
Energy above the lowest structure with this stoichiometry: 24 meV per atom

CIF file:
```
data_RbSbBr3
_chemical_formula_sum 'Rb2 Sb2 Br6'
_symmetry_space_group_name_H-M 'P -1'
_symmetry_Int_Tables_number 2
_cell_length_a 6.565
_cell_length_b 6.616
_cell_length_c 11.337
_cell_angle_alpha 83.42
_cell_angle_beta 84.52
_cell_angle_gamma 89.53
loop_
_symmetry_equiv_pos_as_xyz
'x,y,z'
'-x,-y,-z'
loop_
_atom_site_label
_atom_site_fract_x
_atom_site_fract_y
_atom_site_fract_z
_atom_site_occupancy
Rb1 0.249 0.250 0.005 1
Sb1 0.086 0.585 0.380 1
Br1 0.143 0.217 0.329 1
Br2 0.237 0.735 0.080 1
Br3 0.283 0.367 0.679 1
```

Record 8
The following is a DFT calculation (PBE-GGA) of a geometry-optimized RbSbBr2 structure.

Properties
ρ: 4053 kg/m³
Formation energy from raw total energies: -718 meV per atom
Spin magnetization: 0.00 μB/cell
DOS at the Fermi energy: 0.255 states/eV/atom
Energy above the lowest structure with this stoichiometry: 0 meV per atom

CIF file:
```
data_RbSbBr2
_chemical_formula_sum 'Rb3 Sb3 Br6'
_symmetry_space_group_name_H-M 'R -3 m'
_symmetry_Int_Tables_number 166
_symmetry_space_group_name_Hall '-R 3 2"'
_cell_length_a 4.1212
_cell_length_b 4.1212
_cell_length_c 30.6703
_cell_angle_alpha 90.00
_cell_angle_beta 90.00
_cell_angle_gamma 120.00
loop_
_atom_site_label
_atom_site_fract_x
_atom_site_fract_y
_atom_site_fract_z
_atom_site_occupancy
Rb1 0.0000 0.0000 0.0000 1
Sb1 0.0000 0.0000 0.5000 1
Br1 0.0000 0.0000 0.4091 1
```

Record 9
The following is a DFT calculation (PBE-GGA) of a geometry-optimized Rb2SbBr structure.

Properties
ρ: 3610 kg/m³
Formation energy from raw total energies: -595 meV per atom
Spin magnetization: 8.00 μB/cell
DOS at the Fermi energy: 1.021 states/eV/atom
Energy above the lowest structure with this stoichiometry: 14 meV per atom

CIF file:
```
data_Rb2SbBr
_chemical_formula_sum 'Rb8 Sb4 Br4'
_symmetry_space_group_name_H-M 'F m -3 m'
_symmetry_Int_Tables_number 225
_symmetry_space_group_name_Hall '-F 4 2 3'
_cell_length_a 8.818
_cell_length_b 8.818
_cell_length_c 8.818
_cell_angle_alpha 90.00
_cell_angle_beta 90.00
_cell_angle_gamma 90.00
loop_
_atom_site_label
_atom_site_fract_x
_atom_site_fract_y
_atom_site_fract_z
_atom_site_occupancy
Rb1 0.250 0.250 0.250 1
Sb1 0.000 0.000 0.000 1
Br1 0.000 0.000 0.500 1
```

Record 10
The following is a DFT calculation (PBE-GGA) of a geometry-optimized RbSbBr3 structure.

Properties
ρ: 3800 kg/m³
Formation energy from raw total energies: -927 meV per atom
Spin magnetization: 0.00 μB/cell
DOS at the Fermi energy: 0.047 states/eV/atom
Energy above the lowest structure with this stoichiometry: 62 meV per atom

CIF file:
```
data_RbSbBr3
_chemical_formula_sum 'Rb1 Sb1 Br3'
_symmetry_space_group_name_H-M 'P m -3 m'
_symmetry_Int_Tables_number 221
_symmetry_space_group_name_Hall '-P 4 2 3'
_cell_length_a 5.802
_cell_length_b 5.802
_cell_length_c 5.802
_cell_angle_alpha 90.00
_cell_angle_beta 90.00
_cell_angle_gamma 90.00
loop_
_atom_site_label
_atom_site_fract_x
_atom_site_fract_y
_atom_site_fract_z
_atom_site_occupancy
Rb1 0.000 0.000 0.000 1
Sb1 0.500 0.500 0.500 1
Br1 0.000 0.500 0.500 1
```